Here is a relaxed structure of Ca3MoN from the Alexandria database. Energies are from GGA-PBE.

Structure (POSCAR):
```
Ca3MoN
1.0
4.917 0.000 0.000
0.000 4.917 0.000
0.000 0.000 4.917
Ca Mo N
3 1 1
Cartesian
0.000 0.000 2.459
0.000 2.459 0.000
2.459 0.000 0.000
2.459 2.459 2.459
0.000 0.000 0.000
```

Properties
Density of states at the Fermi level, states/eV/f.u.: 2.98
Formation energy (no corrections), eV/atom: 0.203